DFT (PBE-GGA) results for crystalline PmSmOs at its relaxed geometry.

Structure (POSCAR):
```
PmSmOs
1.0
4.883 0.000 0.000
2.441 4.228 0.000
2.441 1.409 3.987
Os Pm Sm
1 1 1
Cartesian
2.441 1.409 0.997
4.883 2.819 1.993
0.000 0.000 0.000
```

Computed properties:
VASP energy = -6.996 eV/atom
DFT formation energy = -0.0962 eV/atom
polymorph energy (0 for the lowest one) = 0.000 eV per atom